# Cu2NiAgF8

An optimized crystal structure of Cu2NiAgF8 (GGA+U, the Alexandria database).

```
Cu2NiAgF8
1.0
5.329 0.000 0.000
0.000 5.329 0.000
-2.664 -2.664 5.412
Cu Ni Ag F
2 1 1 8
direct
0.500 0.500 0.000
0.250 0.750 0.500
0.000 0.000 0.000
0.750 0.250 0.500
0.730 0.828 0.067
0.337 0.239 0.067
0.592 0.633 0.566
0.975 0.933 0.566
0.067 0.408 0.434
0.367 0.025 0.434
0.172 0.663 0.933
0.761 0.270 0.933
```

Properties
- crystal system = tetragonal
- E_tot (eV/cell) = -46.22